[1]
The following is a PBE calculation of a geometry-optimized RbMnTlBr6 structure, from Alexandria.

Cell: 7.9057 7.9057 12.8804 Å, 90.00 90.00 120.00°
Closest atoms and distances in Å follow each position.
Space group P-31c (No. 163)
One atom of each set of equivalent atoms:
Rb  0.0000  0.0000  0.0000 (multiplicity 2)  6 Br 3.51
Mn  0.3333  0.6667  0.2500 (multiplicity 2)  6 Br 2.47
Tl  0.3333  0.6667  0.7500 (multiplicity 2)  6 Br 3.31
Br  0.0776  0.4154  0.1383 (multiplicity 12)  1 Mn 2.47

Mass density ... 3.9 g cm⁻³
Energy relative to the elements, uncorrected ... -868 meV per atom
Size of the total moment ... 0.322 μB/atom

[2]
The following is a PBE calculation of a geometry-optimized Ta2SbTe structure, from Alexandria.

Cell: 3.3832 4.7413 10.6325 Å, 90.00 90.00 90.00°
Closest atoms and distances in Å follow each position.
Space group Imm2 (No. 44)
One atom of each set of equivalent atoms:
Ta  0.0000  0.0000  0.0000 (multiplicity 2)  2 Te 2.82, 4 Sb 2.91
Ta  0.0000  0.5000  0.2112 (multiplicity 2)  2 Sb 2.88, 4 Te 2.91
Sb  0.0000  0.0000  0.4916 (multiplicity 2)  6 Ta 2.88-2.91
Te  0.0000  0.5000  0.7124 (multiplicity 2)  6 Ta 2.82-2.91

Mass density ... 11.9 g cm⁻³
Energy relative to the elements, uncorrected ... 294 meV per atom
Polymorph energy (0 for the lowest one) ... 0.353 eV per atom
Size of the total moment ... 0.000 μB/atom